(1)
Computed, not measured: Cs5Rb2Bi4 after structural relaxation at the GGA-PBE level of DFT.

magnetization = 0.0 μB per formula unit
calculated volume = 649.16 Å³ per cell
space-group type = No. 12
energy relative to the elements = -239 meV/atom

abc: 9.283 9.283 10.547
angles: 106.60 106.60 48.79
Element x y z (fractional)
Cs  0.000  0.000  0.000
Cs  0.142  0.636  0.549
Cs  0.364  0.858  0.451
Cs  0.636  0.142  0.549
Cs  0.858  0.364  0.451
Rb  0.249  0.249  0.891
Rb  0.751  0.751  0.109
Bi  0.234  0.234  0.251
Bi  0.409  0.409  0.230
Bi  0.591  0.591  0.770
Bi  0.766  0.766  0.749

---

(2)
Computed, not measured: Sm7In4Hg after structural relaxation at the GGA-PBE level of DFT.

magnetization = 0.0 μB per formula unit
calculated volume = 380.72 Å³ per cell
space-group type = No. 12
energy relative to the elements = -194 meV/atom

abc: 7.877 7.877 11.333
angles: 124.46 124.46 43.01
Element x y z (fractional)
Sm  0.000  0.000  0.000
Sm  0.164  0.164  0.599
Sm  0.282  0.282  0.130
Sm  0.432  0.432  0.674
Sm  0.568  0.568  0.326
Sm  0.718  0.718  0.870
Sm  0.836  0.836  0.401
In  0.063  0.063  0.773
In  0.200  0.200  0.341
In  0.800  0.800  0.659
In  0.937  0.937  0.227
Hg  0.500  0.500  0.000

---

(3)
Computed, not measured: Li6Ni2Ag after structural relaxation at the GGA-PBE level of DFT.

magnetization = 0.0 μB per formula unit
calculated volume = 153.89 Å³ per cell
space-group type = No. 65
energy relative to the elements = 114 meV/atom

abc: 4.998 4.998 7.704
angles: 90.00 90.00 126.89
Element x y z (fractional)
Li  0.000  0.000  0.195
Li  0.000  0.000  0.805
Li  0.350  0.650  0.320
Li  0.350  0.650  0.680
Li  0.650  0.350  0.320
Li  0.650  0.350  0.680
Ni  0.127  0.873  0.500
Ni  0.873  0.127  0.500
Ag  0.500  0.500  0.000

---

(4)
Computed, not measured: Y4Cd2Hg3 after structural relaxation at the GGA-PBE level of DFT.

magnetization = 0.0 μB per formula unit
calculated volume = 231.54 Å³ per cell
space-group type = No. 12
energy relative to the elements = -352 meV/atom

abc: 5.312 5.312 9.719
angles: 94.11 94.11 57.89
Element x y z (fractional)
Y  0.020  0.020  0.326
Y  0.342  0.342  0.103
Y  0.658  0.658  0.897
Y  0.980  0.980  0.674
Cd  0.315  0.315  0.770
Cd  0.685  0.685  0.230
Hg  0.000  0.000  0.000
Hg  0.345  0.345  0.432
Hg  0.655  0.655  0.568

---

(5)
Computed, not measured: Tb2CePm5Sm after structural relaxation at the GGA-PBE level of DFT.

magnetization = 1.4 μB per formula unit
calculated volume = 613.88 Å³ per cell
space-group type = No. 127
energy relative to the elements = 289 meV/atom

abc: 8.177 8.177 9.182
angles: 90.00 90.00 90.00
Element x y z (fractional)
Tb  0.129  0.371  0.000
Tb  0.371  0.871  0.000
Tb  0.629  0.129  0.000
Tb  0.871  0.629  0.000
Ce  0.000  0.500  0.500
Ce  0.500  0.000  0.500
Pm  0.000  0.000  0.000
Pm  0.196  0.696  0.269
Pm  0.196  0.696  0.731
Pm  0.304  0.196  0.269
Pm  0.304  0.196  0.731
Pm  0.500  0.500  0.000
Pm  0.696  0.804  0.269
Pm  0.696  0.804  0.731
Pm  0.804  0.304  0.269
Pm  0.804  0.304  0.731
Sm  0.000  0.000  0.500
Sm  0.500  0.500  0.500

---

(6)
Computed, not measured: BaCaCr2 after structural relaxation at the GGA-PBE level of DFT.

magnetization = 8.6 μB per formula unit
calculated volume = 253.01 Å³ per cell
space-group type = No. 122
energy relative to the elements = 1047 meV/atom
energy above the most stable polymorph in this dataset = 0.5571 eV per atom

abc: 7.000 7.000 7.000
angles: 103.22 103.22 122.86
Element x y z (fractional)
Ba  0.000  0.000  0.000
Ba  0.750  0.250  0.500
Ca  0.250  0.750  0.500
Ca  0.500  0.500  0.000
Cr  0.137  0.625  0.012
Cr  0.375  0.387  0.512
Cr  0.613  0.125  0.988
Cr  0.875  0.863  0.488